1.
Crystalline TbHoPu2P4 at its relaxed geometry. Source: Alexandria, functional PBE.

Its formation energy is -11.07 eV per formula unit. The total energy comes out at -8.823 eV/atom.

Cell lengths 6.8843, 4.0101, 6.9446 Å; angles 90.00, 109.66, 90.00 degrees
Space group P2/m (No. 10)
Asymmetric unit:
Tb 0.0000 0.0000 0.0000 [1 per cell]
Ho 0.0000 0.5000 0.5000 [1 per cell]
Pu 0.5000 0.0000 0.5000 [1 per cell]
Pu 0.5000 0.5000 0.0000 [1 per cell]
P 0.2552 0.0000 0.7505 [2 per cell]
P 0.2561 0.5000 0.2533 [2 per cell]

2.
Crystalline TbHo2PuP4 at its relaxed geometry. Source: Alexandria, functional PBE.

Its formation energy is -11.91 eV per formula unit. The total energy comes out at -7.708 eV/atom.

Cell lengths 6.9106, 4.0040, 6.9149 Å; angles 90.00, 109.50, 90.00 degrees
Space group P2/m (No. 10)
Asymmetric unit:
Tb 0.0000 0.0000 0.0000 [1 per cell]
Ho 0.5000 0.0000 0.5000 [1 per cell]
Ho 0.5000 0.5000 0.0000 [1 per cell]
Pu 0.0000 0.5000 0.5000 [1 per cell]
P 0.2484 0.0000 0.7467 [2 per cell]
P 0.2506 0.5000 0.2529 [2 per cell]

3.
Crystalline HoPuTh2P4 at its relaxed geometry. Source: Alexandria, functional PBE.

Its formation energy is -11.84 eV per formula unit. The total energy comes out at -8.404 eV/atom.

Cell lengths 7.0274, 4.0954, 7.0702 Å; angles 90.00, 109.72, 90.00 degrees
Space group P2/m (No. 10)
Asymmetric unit:
Ho 0.0000 0.0000 0.0000 [1 per cell]
Pu 0.0000 0.5000 0.5000 [1 per cell]
Th 0.5000 0.0000 0.5000 [1 per cell]
Th 0.5000 0.5000 0.0000 [1 per cell]
P 0.2409 0.0000 0.7468 [2 per cell]
P 0.2422 0.5000 0.2468 [2 per cell]

4.
Crystalline Ho2PuThP4 at its relaxed geometry. Source: Alexandria, functional PBE.

Its formation energy is -11.92 eV per formula unit. The total energy comes out at -8.059 eV/atom.

Cell lengths 6.9770, 4.0463, 6.9874 Å; angles 90.00, 109.64, 90.00 degrees
Space group P2/m (No. 10)
Asymmetric unit:
Ho 0.0000 0.0000 0.0000 [1 per cell]
Ho 0.0000 0.5000 0.5000 [1 per cell]
Pu 0.5000 0.0000 0.5000 [1 per cell]
Th 0.5000 0.5000 0.0000 [1 per cell]
P 0.2437 0.0000 0.7448 [2 per cell]
P 0.2484 0.5000 0.2539 [2 per cell]

5.
Crystalline HoPu3U4P8 at its relaxed geometry. Source: Alexandria, functional PBE.

Its formation energy is -17.75 eV per formula unit. The total energy comes out at -9.610 eV/atom.

Cell lengths 7.8670, 7.8670, 19.5990 Å; angles 90.00, 90.00, 120.00 degrees
Space group R-3m (No. 166, hexagonal axes)
Asymmetric unit:
Ho 0.0000 0.0000 0.0000 [3 per cell]
Pu 0.0000 0.5000 0.0000 [9 per cell]
U 0.0000 0.0000 0.5000 [3 per cell]
U 0.0000 0.5000 0.5000 [9 per cell]
P 0.0000 0.0000 0.2486 [6 per cell]
P 0.0005 0.5003 0.7517 [18 per cell]

6.
Crystalline HoPuU2P4 at its relaxed geometry. Source: Alexandria, functional PBE.

Its formation energy is -9.44 eV per formula unit. The total energy comes out at -9.071 eV/atom.

Cell lengths 6.8289, 3.9494, 6.9392 Å; angles 90.00, 109.22, 90.00 degrees
Space group P2/m (No. 10)
Asymmetric unit:
Ho 0.0000 0.0000 0.0000 [1 per cell]
Pu 0.5000 0.5000 0.0000 [1 per cell]
U 0.0000 0.5000 0.5000 [1 per cell]
U 0.5000 0.0000 0.5000 [1 per cell]
P 0.2490 0.0000 0.7460 [2 per cell]
P 0.2517 0.5000 0.2546 [2 per cell]

7.
Crystalline YHo2PuP4 at its relaxed geometry. Source: Alexandria, functional PBE.

Its formation energy is -11.94 eV per formula unit. The total energy comes out at -7.942 eV/atom.

Cell lengths 6.9062, 4.0013, 6.9075 Å; angles 90.00, 109.49, 90.00 degrees
Space group P2/m (No. 10)
Asymmetric unit:
Y 0.0000 0.0000 0.0000 [1 per cell]
Ho 0.5000 0.0000 0.5000 [1 per cell]
Ho 0.5000 0.5000 0.0000 [1 per cell]
Pu 0.0000 0.5000 0.5000 [1 per cell]
P 0.2482 0.0000 0.7469 [2 per cell]
P 0.2501 0.5000 0.2525 [2 per cell]

8.
Crystalline Y2HoPuP4 at its relaxed geometry. Source: Alexandria, functional PBE.

Its formation energy is -11.98 eV per formula unit. The total energy comes out at -8.182 eV/atom.

Cell lengths 6.9165, 4.0069, 6.9184 Å; angles 90.00, 109.49, 90.00 degrees
Space group P2/m (No. 10)
Asymmetric unit:
Y 0.0000 0.0000 0.0000 [1 per cell]
Y 0.5000 0.5000 0.0000 [1 per cell]
Ho 0.0000 0.5000 0.5000 [1 per cell]
Pu 0.5000 0.0000 0.5000 [1 per cell]
P 0.2505 0.0000 0.7469 [2 per cell]
P 0.2533 0.5000 0.2546 [2 per cell]

9.
Crystalline Ho2PuZrP4 at its relaxed geometry. Source: Alexandria, functional PBE.

Its formation energy is -11.55 eV per formula unit. The total energy comes out at -8.153 eV/atom.

Cell lengths 6.7716, 3.9198, 6.7777 Å; angles 90.00, 109.30, 90.00 degrees
Space group P2/m (No. 10)
Asymmetric unit:
Ho 0.0000 0.0000 0.0000 [1 per cell]
Ho 0.5000 0.5000 0.0000 [1 per cell]
Pu 0.0000 0.5000 0.5000 [1 per cell]
Zr 0.5000 0.0000 0.5000 [1 per cell]
P 0.2536 0.0000 0.7425 [2 per cell]
P 0.2589 0.5000 0.2604 [2 per cell]

10.
Crystalline RbHoP2S8 at its relaxed geometry. Source: Alexandria, functional PBE.

As for the formation energy (no corrections): -57 kJ/mol of atoms. The total energy comes out at -4.706 eV/atom.

Cell lengths 6.1794, 6.1794, 9.5482 Å; angles 90.00, 90.00, 120.00 degrees
Space group P-3 (No. 147)
Asymmetric unit:
Rb 0.0000 0.0000 0.0000 [1 per cell]
Ho 0.0000 0.0000 0.5000 [1 per cell]
P 0.3333 0.6667 0.7283 [2 per cell]
S 0.0015 0.3616 0.6695 [6 per cell]
S 0.3333 0.6667 0.9415 [2 per cell]

11.
Crystalline Rb2HoP2S6 at its relaxed geometry. Source: Alexandria, functional PBE.

As for the formation energy (no corrections): -86 kJ/mol of atoms. The total energy comes out at -4.714 eV/atom.

Cell lengths 11.9243, 6.9328, 8.0806 Å; angles 90.00, 118.22, 90.00 degrees
Space group C2/m (No. 12)
Asymmetric unit:
Rb 0.2135 0.0000 0.1932 [4 per cell]
Ho 0.0000 0.0000 0.5000 [2 per cell]
P 0.0519 0.5000 0.1812 [4 per cell]
S 0.0362 0.2552 0.7845 [8 per cell]
S 0.2483 0.5000 0.3704 [4 per cell]

12.
Crystalline HoReP2 at its relaxed geometry. Source: Alexandria, functional PBE.

Its energy above the most stable polymorph in this dataset is 0.250 eV/atom. Its formation energy is -1.66 eV per formula unit. The total energy comes out at -7.377 eV/atom.

Cell lengths 3.0751, 3.0751, 6.7399 Å; angles 90.00, 90.00, 90.00 degrees
Space group P4/mmm (No. 123)
Asymmetric unit:
Ho 0.0000 0.0000 0.0000 [1 per cell]
Re 0.0000 0.0000 0.5000 [1 per cell]
P 0.5000 0.5000 0.2922 [2 per cell]

13.
Crystalline Ho2ReP at its relaxed geometry. Source: Alexandria, functional PBE.

Its formation energy is 1.42 eV per formula unit. The total energy comes out at -6.399 eV/atom.

Cell lengths 3.4650, 3.4650, 26.7513 Å; angles 90.00, 90.00, 120.00 degrees
Space group R-3m (No. 166, hexagonal axes)
Asymmetric unit:
Ho 0.0000 0.0000 0.1006 [6 per cell]
Re 0.0000 0.0000 0.0000 [3 per cell]
P 0.0000 0.0000 0.5000 [3 per cell]

14.
Crystalline HoReP2 at its relaxed geometry. Source: Alexandria, functional PBE.

Its energy above the most stable polymorph in this dataset is 0.000 eV/atom. Its formation energy is -2.66 eV per formula unit. The total energy comes out at -7.627 eV/atom.

Cell lengths 3.8627, 3.8627, 16.3417 Å; angles 90.00, 90.00, 120.00 degrees
Space group R-3m (No. 166, hexagonal axes)
Asymmetric unit:
Ho 0.0000 0.0000 0.0000 [3 per cell]
Re 0.0000 0.0000 0.5000 [3 per cell]
P 0.0000 0.0000 0.2308 [6 per cell]

15.
Crystalline HoPRh2 at its relaxed geometry. Source: Alexandria, functional PBE.

Its formation energy is -3.94 eV per formula unit. The total energy comes out at -7.158 eV/atom.

Cell lengths 4.0628, 15.4746, 8.6114 Å; angles 90.00, 90.00, 90.00 degrees
Space group Cmcm (No. 63)
Asymmetric unit:
Ho 0.0000 0.0000 0.0000 [4 per cell]
Ho 0.0000 0.1936 0.2500 [4 per cell]
P 0.0000 0.3583 0.5177 [8 per cell]
Rh 0.0000 0.1995 0.5786 [8 per cell]
Rh 0.0000 0.3870 0.2500 [4 per cell]
Rh 0.0000 0.4380 0.7500 [4 per cell]

16.
Crystalline HoP2Rh2 at its relaxed geometry. Source: Alexandria, functional PBE.

Its formation energy is -4.44 eV per formula unit. The total energy comes out at -6.908 eV/atom.

Cell lengths 7.9966, 9.5478, 6.1602 Å; angles 90.00, 130.25, 90.00 degrees
Space group C2/c (No. 15)
Asymmetric unit:
Ho 0.0000 0.1251 0.2500 [4 per cell]
P 0.0000 0.1721 0.7500 [4 per cell]
P 0.0000 0.4227 0.2500 [4 per cell]
Rh 0.1461 0.3747 0.0414 [8 per cell]

17.
Crystalline Ho3P6Rh20 at its relaxed geometry. Source: Alexandria, functional PBE.

Its formation energy is -20.16 eV per formula unit. The total energy comes out at -7.358 eV/atom.

Cell lengths 11.9998, 11.9998, 11.9998 Å; angles 90.00, 90.00, 90.00 degrees
Space group Fm-3m (No. 225)
Asymmetric unit:
Ho 0.0000 0.0000 0.0000 [4 per cell]
Ho 0.2500 0.2500 0.2500 [8 per cell]
P 0.0000 0.0000 0.2692 [24 per cell]
Rh 0.0000 0.1709 0.1709 [48 per cell]
Rh 0.1165 0.1165 0.3835 [32 per cell]

18.
Crystalline Ho2PRh6 at its relaxed geometry. Source: Alexandria, functional PBE.

Its formation energy is -7.75 eV per formula unit. The total energy comes out at -7.380 eV/atom.

Cell lengths 8.3981, 8.3981, 8.3981 Å; angles 90.00, 90.00, 90.00 degrees
Space group Fm-3m (No. 225)
Asymmetric unit:
Ho 0.2500 0.2500 0.2500 [8 per cell]
P 0.0000 0.0000 0.0000 [4 per cell]
Rh 0.0000 0.0000 0.2662 [24 per cell]

19.
Crystalline Ho2PRh3 at its relaxed geometry. Source: Alexandria, functional PBE.

Its formation energy is -5.81 eV per formula unit. The total energy comes out at -7.072 eV/atom.

Cell lengths 5.5320, 5.5320, 11.5689 Å; angles 90.00, 90.00, 120.00 degrees
Space group R-3m (No. 166, hexagonal axes)
Asymmetric unit:
Ho 0.0000 0.0000 0.1282 [6 per cell]
P 0.0000 0.0000 0.5000 [3 per cell]
Rh 0.0000 0.5000 0.0000 [9 per cell]

20.
Crystalline Ho2P7Rh12 at its relaxed geometry. Source: Alexandria, functional PBE.

Its formation energy is -19.53 eV per formula unit. The total energy comes out at -7.370 eV/atom.

Cell lengths 9.5927, 9.5927, 3.8656 Å; angles 90.00, 90.00, 120.00 degrees
Space group P-3 (No. 147)
Asymmetric unit:
Ho 0.3333 0.6667 0.2486 [2 per cell]
P 0.0000 0.0000 0.0000 [1 per cell]
P 0.1196 0.4058 0.7452 [6 per cell]
Rh 0.0683 0.6181 0.7493 [6 per cell]
Rh 0.1106 0.8488 0.2494 [6 per cell]